1.
## In11Bi4Pb9 (PBE)

Data for a relaxed structure of In11Bi4Pb9.

Computed properties:
The density of states at the Fermi level comes out at 16.208 states/eV/cell. The total magnetization comes out at 0.00 μB per formula unit. For the energy of formation, the calculation gives 26 meV per atom. Its energy is -156.8 eV for the cell shown.

Lattice parameters (Å, degrees): 15.100 27.511 3.479 90.00 90.00 90.00
Space group Cmmm (No. 65)
One atom of each set of equivalent atoms:
1 In 0.000 0.000 0.000 x2
2 In 0.000 0.177 0.000 x4
3 In 0.000 0.348 0.000 x4
4 In 0.228 0.171 0.000 x8
5 In 0.240 0.000 0.000 x4
6 Bi 0.149 0.412 0.500 x8
7 Pb 0.000 0.500 0.500 x2
8 Pb 0.114 0.087 0.500 x8
9 Pb 0.123 0.263 0.500 x8


2.
## MgAgPt2S (PBE)

Data for a relaxed structure of MgAgPt2S.

Computed properties:
The density of states at the Fermi level comes out at 3.892 states/eV/cell. The total magnetization comes out at 0.00 μB per formula unit. The energy relative to the elements, uncorrected is 0.96 eV per atom. Its energy is -15.8 eV for the cell shown.

Lattice parameters (Å, degrees): 4.669 4.669 4.791 90.00 90.00 90.00
Space group P4/mmm (No. 123)
One atom of each set of equivalent atoms:
1 Mg 0.000 0.000 0.000 x1
2 Ag 0.000 0.000 0.500 x1
3 Pt 0.000 0.500 0.000 x2
4 S 0.500 0.500 0.500 x1


3.
## LiLaZn2Pd4 (PBE)

Data for a relaxed structure of LiLaZn2Pd4.

Computed properties:
The density of states at the Fermi level comes out at 9.429 states/eV/cell. The total magnetization comes out at 0.00 μB per formula unit. For the energy of formation, the calculation gives -630 meV per atom. Its energy is -105.6 eV for the cell shown.

Lattice parameters (Å, degrees): 4.3622 4.3622 25.1732 90.00 90.00 120.00
Space group R-3m (No. 166, hexagonal axes)
One atom of each set of equivalent atoms:
1 Li 0.0000 0.0000 0.0000 x3
2 La 0.0000 0.0000 0.5000 x3
3 Zn 0.0000 0.0000 0.2649 x6
4 Pd 0.0000 0.0000 0.0983 x6
5 Pd 0.0000 0.0000 0.3709 x6


4.
## LaTlCr (PBE)

Data for a relaxed structure of LaTlCr.

Computed properties:
The density of states at the Fermi level comes out at 13.422 states/eV/cell. The total magnetization comes out at 4.15 μB per formula unit. For the energy of formation, the calculation gives 259 meV per atom. Its energy is -64.6 eV for the cell shown.

Lattice parameters (Å, degrees): 6.985 6.985 6.985 90.00 90.00 90.00
Space group F-43m (No. 216)
One atom of each set of equivalent atoms:
1 La 0.000 0.000 0.000 x4
2 Tl 0.000 0.000 0.500 x4
3 Cr 0.250 0.250 0.750 x4


5.
## Eu2TlBr (PBE)

Data for a relaxed structure of Eu2TlBr.

Computed properties:
The density of states at the Fermi level comes out at 57.225 states/eV/cell. The total magnetization comes out at 14.44 μB per formula unit. The value obtained for the energy above the most stable polymorph in this dataset is 0.0000 eV/atom. The energy relative to the elements, uncorrected is -0.89 eV per atom. Its energy is -84.5 eV for the cell shown.

Lattice parameters (Å, degrees): 4.2099 4.2099 26.0958 90.00 90.00 120.00
Space group R-3m (No. 166, hexagonal axes)
One atom of each set of equivalent atoms:
1 Eu 0.0000 0.0000 0.2473 x6
2 Tl 0.0000 0.0000 0.0000 x3
3 Br 0.0000 0.0000 0.5000 x3


6.
## KCrN (PBE)

Data for a relaxed structure of KCrN.

Computed properties:
The density of states at the Fermi level comes out at 1.236 states/eV/cell. The total magnetization comes out at 2.00 μB per formula unit. The value obtained for the energy above the most stable polymorph in this dataset is 0.2457 eV/atom. The energy relative to the elements, uncorrected is 0.00 eV per atom. Its energy is -38.1 eV for the cell shown.

Lattice parameters (Å, degrees): 3.438 5.636 6.422 102.90 90.29 107.70
Space group P1 (No. 1)
One atom of each set of equivalent atoms:
1 K 0.000 0.000 0.000 x1
2 K 0.217 0.425 0.690 x1
3 Cr 0.451 0.896 0.397 x1
4 Cr 0.753 0.504 0.257 x1
5 N 0.288 0.574 0.170 x1
6 N 0.616 0.225 0.348 x1


7.
## Sc4C (PBE)

Data for a relaxed structure of Sc4C.

Computed properties:
The density of states at the Fermi level comes out at 7.760 states/eV/cell. The total magnetization comes out at 0.11 μB per formula unit. The value obtained for the energy above the most stable polymorph in this dataset is 0.0411 eV/atom. For the energy of formation, the calculation gives -143 meV per atom. Its energy is -35.3 eV for the cell shown.

Lattice parameters (Å, degrees): 4.650 4.650 4.650 90.00 90.00 90.00
Space group Pm-3m (No. 221)
One atom of each set of equivalent atoms:
1 Sc 0.000 0.000 0.000 x1
2 Sc 0.000 0.500 0.500 x3
3 C 0.500 0.500 0.500 x1


8.
## LaZrW (PBE)

Data for a relaxed structure of LaZrW.

Computed properties:
The density of states at the Fermi level comes out at 3.741 states/eV/cell. The total magnetization comes out at 0.00 μB per formula unit. The value obtained for the energy above the most stable polymorph in this dataset is 0.1209 eV/atom. For the energy of formation, the calculation gives 519 meV per atom. Its energy is -24.9 eV for the cell shown.

Lattice parameters (Å, degrees): 4.9301 4.9301 3.1989 90.00 90.00 120.00
Space group P3m1 (No. 156)
One atom of each set of equivalent atoms:
1 La 0.0000 0.0000 0.0000 x1
2 Zr 0.3333 0.6667 0.5981 x1
3 W 0.6667 0.3333 0.3242 x1


9.
## Tb3YN4 (PBE)

Data for a relaxed structure of Tb3YN4.

Computed properties:
The density of states at the Fermi level comes out at 0.504 states/eV/cell. The total magnetization comes out at 0.00 μB per formula unit. The energy relative to the elements, uncorrected is -1.67 eV per atom. Its energy is -67.0 eV for the cell shown.

Lattice parameters (Å, degrees): 4.940 4.940 4.940 90.00 90.00 90.00
Space group Pm-3m (No. 221)
One atom of each set of equivalent atoms:
1 Tb 0.000 0.000 0.500 x3
2 Y 0.500 0.500 0.500 x1
3 N 0.000 0.000 0.000 x1
4 N 0.000 0.500 0.500 x3


10.
## KSrMg2 (PBE)

Data for a relaxed structure of KSrMg2.

Computed properties:
The density of states at the Fermi level comes out at 2.679 states/eV/cell. The total magnetization comes out at 0.00 μB per formula unit. The value obtained for the energy above the most stable polymorph in this dataset is 0.0163 eV/atom. For the energy of formation, the calculation gives 116 meV per atom. Its energy is -5.5 eV for the cell shown.

Lattice parameters (Å, degrees): 4.094 4.094 9.459 90.00 90.00 90.00
Space group P4/mmm (No. 123)
One atom of each set of equivalent atoms:
1 K 0.000 0.000 0.000 x1
2 Sr 0.000 0.000 0.500 x1
3 Mg 0.500 0.500 0.276 x2


11.
## SrAgPd (PBE)

Data for a relaxed structure of SrAgPd.

Computed properties:
The density of states at the Fermi level comes out at 1.686 states/eV/cell. The total magnetization comes out at 0.00 μB per formula unit. The value obtained for the energy above the most stable polymorph in this dataset is 0.0451 eV/atom. For the energy of formation, the calculation gives -395 meV per atom. Its energy is -10.9 eV for the cell shown.

Lattice parameters (Å, degrees): 4.6685 4.6685 4.0711 90.00 90.00 120.00
Space group P-6m2 (No. 187)
One atom of each set of equivalent atoms:
1 Sr 0.0000 0.0000 0.0000 x1
2 Ag 0.6667 0.3333 0.5000 x1
3 Pd 0.3333 0.6667 0.5000 x1


12.
## Pu2PaMnC4 (PBE)

Data for a relaxed structure of Pu2PaMnC4.

Computed properties:
The density of states at the Fermi level comes out at 57.303 states/eV/cell. The total magnetization comes out at 7.32 μB per formula unit. For the energy of formation, the calculation gives 11 meV per atom. Its energy is -336.5 eV for the cell shown.

Lattice parameters (Å, degrees): 3.419 11.296 11.725 90.00 90.00 90.00
Space group Cmcm (No. 63)
One atom of each set of equivalent atoms:
1 Pu 0.000 0.135 0.047 x8
2 Pa 0.000 0.398 0.250 x4
3 Mn 0.000 0.342 0.750 x4
4 C 0.000 0.062 0.250 x4
5 C 0.000 0.229 0.635 x8
6 C 0.000 0.500 0.000 x4


13.
## CaMn3Pd (PBE)

Data for a relaxed structure of CaMn3Pd.

Computed properties:
The density of states at the Fermi level comes out at 4.025 states/eV/cell. The total magnetization comes out at 12.95 μB per formula unit. The value obtained for the energy above the most stable polymorph in this dataset is 0.0000 eV/atom. For the energy of formation, the calculation gives 555 meV per atom. Its energy is -31.9 eV for the cell shown.

Lattice parameters (Å, degrees): 4.912 4.912 4.912 90.00 90.00 90.00
Space group Pm-3m (No. 221)
One atom of each set of equivalent atoms:
1 Ca 0.000 0.000 0.000 x1
2 Mn 0.000 0.500 0.500 x3
3 Pd 0.500 0.500 0.500 x1


14.
## Cd8HgRh2 (PBE)

Data for a relaxed structure of Cd8HgRh2.

Computed properties:
The density of states at the Fermi level comes out at 7.083 states/eV/cell. The total magnetization comes out at 0.00 μB per formula unit. The value obtained for the energy above the most stable polymorph in this dataset is 0.0000 eV/atom. For the energy of formation, the calculation gives -61 meV per atom. Its energy is -46.0 eV for the cell shown.

Lattice parameters (Å, degrees): 15.263 4.458 7.166 90.00 112.88 90.00
Space group C2/m (No. 12)
One atom of each set of equivalent atoms:
1 Cd 0.033 0.000 0.224 x4
2 Cd 0.118 0.500 0.951 x4
3 Cd 0.168 0.000 0.739 x4
4 Cd 0.177 0.500 0.412 x4
5 Hg 0.000 0.500 0.500 x2
6 Rh 0.206 0.000 0.169 x4


15.
## BaGa3Au2 (PBE)

Data for a relaxed structure of BaGa3Au2.

Computed properties:
The density of states at the Fermi level comes out at 11.467 states/eV/cell. The total magnetization comes out at 0.00 μB per formula unit. For the energy of formation, the calculation gives -463 meV per atom. Its energy is -81.4 eV for the cell shown.

Lattice parameters (Å, degrees): 16.467 4.493 8.276 90.00 112.82 90.00
Space group C2/m (No. 12)
One atom of each set of equivalent atoms:
1 Ba 0.148 0.000 0.085 x4
2 Ga 0.015 0.000 0.356 x4
3 Ga 0.126 0.500 0.735 x4
4 Ga 0.176 0.500 0.437 x4
5 Au 0.015 0.500 0.185 x4
6 Au 0.177 0.000 0.629 x4


16.
## Pm8Dy3Y2 (PBE)

Data for a relaxed structure of Pm8Dy3Y2.

Computed properties:
The density of states at the Fermi level comes out at 38.973 states/eV/cell. The total magnetization comes out at 0.00 μB per formula unit. The value obtained for the energy above the most stable polymorph in this dataset is 0.1438 eV/atom. For the energy of formation, the calculation gives 208 meV per atom. Its energy is -124.1 eV for the cell shown.

Lattice parameters (Å, degrees): 20.427 7.708 5.723 90.00 90.02 90.00
Space group C2/m (No. 12)
One atom of each set of equivalent atoms:
1 Pm 0.106 0.206 0.000 x8
2 Pm 0.131 0.500 0.500 x4
3 Pm 0.171 0.000 0.501 x4
4 Dy 0.000 0.214 0.500 x4
5 Dy 0.000 0.500 0.000 x2
6 Y 0.240 0.500 0.999 x4


17.
## ErAgF4 (PBE)

Data for a relaxed structure of ErAgF4.

Computed properties:
The density of states at the Fermi level comes out at 0.000 states/eV/cell. The total magnetization comes out at 0.00 μB per formula unit. The value obtained for the energy above the most stable polymorph in this dataset is 0.0239 eV/atom. The energy relative to the elements, uncorrected is -3.02 eV per atom. Its energy is -66.1 eV for the cell shown.

Lattice parameters (Å, degrees): 7.592 7.983 3.547 90.00 90.00 90.00
Space group Cmmm (No. 65)
One atom of each set of equivalent atoms:
1 Er 0.000 0.000 0.000 x2
2 Ag 0.000 0.500 0.500 x2
3 F 0.000 0.166 0.500 x4
4 F 0.220 0.500 0.000 x4


18.
## Sc6Ni2Ru (PBE)

Data for a relaxed structure of Sc6Ni2Ru.

Computed properties:
The density of states at the Fermi level comes out at 35.729 states/eV/cell. The total magnetization comes out at 0.00 μB per formula unit. For the energy of formation, the calculation gives -394 meV per atom. Its energy is -249.5 eV for the cell shown.

Lattice parameters (Å, degrees): 8.606 8.854 8.997 90.00 90.00 90.00
Space group Immm (No. 71)
One atom of each set of equivalent atoms:
1 Sc 0.000 0.173 0.204 x8
2 Sc 0.177 0.500 0.240 x8
3 Sc 0.190 0.239 0.500 x8
4 Ni 0.000 0.373 0.000 x4
5 Ni 0.151 0.000 0.000 x4
6 Ru 0.000 0.000 0.500 x2
7 Ru 0.000 0.500 0.500 x2


19.
## NbAlTcRh2 (PBE)

Data for a relaxed structure of NbAlTcRh2.

Computed properties:
The density of states at the Fermi level comes out at 3.961 states/eV/cell. The total magnetization comes out at 0.95 μB per formula unit. For the energy of formation, the calculation gives 1173 meV per atom. Its energy is -33.0 eV for the cell shown.

Lattice parameters (Å, degrees): 4.702 4.702 4.715 90.00 90.00 90.00
Space group P4/mmm (No. 123)
One atom of each set of equivalent atoms:
1 Nb 0.000 0.000 0.000 x1
2 Al 0.500 0.500 0.500 x1
3 Tc 0.000 0.000 0.500 x1
4 Rh 0.000 0.500 0.000 x2


20.
## InSnTe2 (PBE)

Data for a relaxed structure of InSnTe2.

Computed properties:
The density of states at the Fermi level comes out at 6.134 states/eV/cell. The total magnetization comes out at 0.00 μB per formula unit. The energy relative to the elements, uncorrected is -0.23 eV per atom. Its energy is -41.8 eV for the cell shown.

Lattice parameters (Å, degrees): 4.3558 4.3558 23.5992 90.00 90.00 120.00
Space group R3m (No. 160, hexagonal axes)
One atom of each set of equivalent atoms:
1 In 0.0000 0.0000 0.0000 x3
2 Sn 0.0000 0.0000 0.8306 x3
3 Te 0.0000 0.0000 0.2450 x3
4 Te 0.0000 0.0000 0.4178 x3